DFT (GGA-PBE) results for a relaxed GdBPt2 crystal.

The structure in CIF format:
```
data_GdBPt2
_chemical_formula_sum 'Gd3 B3 Pt6'
_space_group_name_H-M_alt 'R -3 m'
_space_group_IT_number 166
_space_group_name_Hall '-R 3 2"'
_cell_length_a 3.2844
_cell_length_b 3.2844
_cell_length_c 23.6319
_cell_angle_alpha 90.00
_cell_angle_beta 90.00
_cell_angle_gamma 120.00
loop_
_atom_site_label
_atom_site_type_symbol
_atom_site_fract_x
_atom_site_fract_y
_atom_site_fract_z
Gd1 Gd 0.0000 0.0000 0.0000
B1 B 0.0000 0.0000 0.5000
Pt1 Pt 0.0000 0.0000 0.1203
```

DOS(E_F) ... 0.459 states/eV per atom



DFT (GGA-PBE) results for a relaxed GdPuB4 crystal.

The structure in CIF format:
```
data_GdPuB4
_chemical_formula_sum 'Gd4 Pu4 B16'
_space_group_name_H-M_alt 'F -4 3 m'
_space_group_IT_number 216
_space_group_name_Hall 'F -4 2 3'
_cell_length_a 6.749
_cell_length_b 6.749
_cell_length_c 6.749
_cell_angle_alpha 90.00
_cell_angle_beta 90.00
_cell_angle_gamma 90.00
loop_
_atom_site_label
_atom_site_type_symbol
_atom_site_fract_x
_atom_site_fract_y
_atom_site_fract_z
Gd1 Gd 0.000 0.000 0.000
Pu1 Pu 0.250 0.250 0.750
B1 B 0.092 0.092 0.408
```

DOS(E_F) ... 2.370 states/eV per atom



DFT (GGA-PBE) results for a relaxed GdB2Rh3 crystal.

The structure in CIF format:
```
data_GdB2Rh3
_chemical_formula_sum 'Gd1 B2 Rh3'
_space_group_name_H-M_alt 'P 6/m m m'
_space_group_IT_number 191
_space_group_name_Hall '-P 6 2'
_cell_length_a 5.4806
_cell_length_b 5.4806
_cell_length_c 3.0949
_cell_angle_alpha 90.00
_cell_angle_beta 90.00
_cell_angle_gamma 120.00
loop_
_atom_site_label
_atom_site_type_symbol
_atom_site_fract_x
_atom_site_fract_y
_atom_site_fract_z
Gd1 Gd 0.0000 0.0000 0.0000
B1 B 0.3333 0.6667 0.0000
Rh1 Rh 0.0000 0.5000 0.5000
```

DOS(E_F) ... 0.403 states/eV per atom



DFT (GGA-PBE) results for a relaxed GdB4Rh4 crystal.

The structure in CIF format:
```
data_GdB4Rh4
_chemical_formula_sum 'Gd2 B8 Rh8'
_space_group_name_H-M_alt 'P 42/n m c'
_space_group_IT_number 137
_cell_length_a 5.348
_cell_length_b 5.348
_cell_length_c 7.494
_cell_angle_alpha 90.00
_cell_angle_beta 90.00
_cell_angle_gamma 90.00
loop_
_space_group_symop_operation_xyz
'x,y,z'
'-x,-y,-z'
'-y+1/2,x,z+1/2'
'y+1/2,-x,-z+1/2'
'-x+1/2,-y+1/2,z'
'x+1/2,y+1/2,-z'
'y,-x+1/2,z+1/2'
'-y,x+1/2,-z+1/2'
'x+1/2,-y,-z'
'-x+1/2,y,z'
'-y,-x,-z+1/2'
'y,x,z+1/2'
'-x,y+1/2,-z'
'x,-y+1/2,z'
'y+1/2,x+1/2,-z+1/2'
'-y+1/2,-x+1/2,z+1/2'
loop_
_atom_site_label
_atom_site_type_symbol
_atom_site_fract_x
_atom_site_fract_y
_atom_site_fract_z
Gd1 Gd 0.250 0.750 0.250
B1 B 0.081 0.250 0.100
Rh1 Rh 0.001 0.750 0.605
```

DOS(E_F) ... 0.503 states/eV per atom



DFT (GGA-PBE) results for a relaxed GdBRu crystal.

The structure in CIF format:
```
data_GdBRu
_chemical_formula_sum 'Gd1 B1 Ru1'
_space_group_name_H-M_alt 'P -6 m 2'
_space_group_IT_number 187
_space_group_name_Hall 'P -6 2'
_cell_length_a 3.6626
_cell_length_b 3.6626
_cell_length_c 4.3089
_cell_angle_alpha 90.00
_cell_angle_beta 90.00
_cell_angle_gamma 120.00
loop_
_atom_site_label
_atom_site_type_symbol
_atom_site_fract_x
_atom_site_fract_y
_atom_site_fract_z
Gd1 Gd 0.0000 0.0000 0.0000
B1 B 0.3333 0.6667 0.5000
Ru1 Ru 0.6667 0.3333 0.5000
```

DOS(E_F) ... 0.368 states/eV per atom



DFT (GGA-PBE) results for a relaxed GdBRu2 crystal.

The structure in CIF format:
```
data_GdBRu2
_chemical_formula_sum 'Gd3 B3 Ru6'
_space_group_name_H-M_alt 'R -3 m'
_space_group_IT_number 166
_space_group_name_Hall '-R 3 2"'
_cell_length_a 3.3279
_cell_length_b 3.3279
_cell_length_c 19.9955
_cell_angle_alpha 90.00
_cell_angle_beta 90.00
_cell_angle_gamma 120.00
loop_
_atom_site_label
_atom_site_type_symbol
_atom_site_fract_x
_atom_site_fract_y
_atom_site_fract_z
Gd1 Gd 0.0000 0.0000 0.0000
B1 B 0.0000 0.0000 0.5000
Ru1 Ru 0.0000 0.0000 0.2175
```

DOS(E_F) ... 0.806 states/eV per atom



DFT (GGA-PBE) results for a relaxed GdBS2 crystal.

The structure in CIF format:
```
data_GdBS2
_chemical_formula_sum 'Gd3 B3 S6'
_space_group_name_H-M_alt 'R -3 m'
_space_group_IT_number 166
_space_group_name_Hall '-R 3 2"'
_cell_length_a 3.2698
_cell_length_b 3.2698
_cell_length_c 23.3074
_cell_angle_alpha 90.00
_cell_angle_beta 90.00
_cell_angle_gamma 120.00
loop_
_atom_site_label
_atom_site_type_symbol
_atom_site_fract_x
_atom_site_fract_y
_atom_site_fract_z
Gd1 Gd 0.0000 0.0000 0.0000
B1 B 0.0000 0.0000 0.5000
S1 S 0.0000 0.0000 0.1171
```

DOS(E_F) ... 0.354 states/eV per atom
ΔE_f (raw) ... 0.437 eV/f.u.



DFT (GGA-PBE) results for a relaxed Gd3BSb crystal.

The structure in CIF format:
```
data_Gd3BSb
_chemical_formula_sum 'Gd3 B1 Sb1'
_space_group_name_H-M_alt 'P m -3 m'
_space_group_IT_number 221
_space_group_name_Hall '-P 4 2 3'
_cell_length_a 5.052
_cell_length_b 5.052
_cell_length_c 5.052
_cell_angle_alpha 90.00
_cell_angle_beta 90.00
_cell_angle_gamma 90.00
loop_
_atom_site_label
_atom_site_type_symbol
_atom_site_fract_x
_atom_site_fract_y
_atom_site_fract_z
Gd1 Gd 0.000 0.000 0.500
B1 B 0.000 0.000 0.000
Sb1 Sb 0.500 0.500 0.500
```

DOS(E_F) ... 0.466 states/eV per atom
ΔE_f (raw) ... -2.612 eV/f.u.



DFT (GGA-PBE) results for a relaxed GdSiB crystal.

The structure in CIF format:
```
data_GdSiB
_chemical_formula_sum 'Gd1 Si1 B1'
_space_group_name_H-M_alt 'P -6 m 2'
_space_group_IT_number 187
_space_group_name_Hall 'P -6 2'
_cell_length_a 3.5725
_cell_length_b 3.5725
_cell_length_c 4.1904
_cell_angle_alpha 90.00
_cell_angle_beta 90.00
_cell_angle_gamma 120.00
loop_
_atom_site_label
_atom_site_type_symbol
_atom_site_fract_x
_atom_site_fract_y
_atom_site_fract_z
Gd1 Gd 0.0000 0.0000 0.0000
Si1 Si 0.3333 0.6667 0.5000
B1 B 0.6667 0.3333 0.5000
```

DOS(E_F) ... 0.187 states/eV per atom
ΔE_f (raw) ... -1.954 eV/f.u.



DFT (GGA-PBE) results for a relaxed TbGdB4 crystal.

The structure in CIF format:
```
data_TbGdB4
_chemical_formula_sum 'Tb4 Gd4 B16'
_space_group_name_H-M_alt 'F -4 3 m'
_space_group_IT_number 216
_space_group_name_Hall 'F -4 2 3'
_cell_length_a 6.788
_cell_length_b 6.788
_cell_length_c 6.788
_cell_angle_alpha 90.00
_cell_angle_beta 90.00
_cell_angle_gamma 90.00
loop_
_atom_site_label
_atom_site_type_symbol
_atom_site_fract_x
_atom_site_fract_y
_atom_site_fract_z
Tb1 Tb 0.000 0.000 0.000
Gd1 Gd 0.250 0.250 0.750
B1 B 0.092 0.092 0.408
```

DOS(E_F) ... 0.707 states/eV per atom



DFT (GGA-PBE) results for a relaxed Tb3GdB crystal.

The structure in CIF format:
```
data_Tb3GdB
_chemical_formula_sum 'Tb3 Gd1 B1'
_space_group_name_H-M_alt 'P m -3 m'
_space_group_IT_number 221
_space_group_name_Hall '-P 4 2 3'
_cell_length_a 5.188
_cell_length_b 5.188
_cell_length_c 5.188
_cell_angle_alpha 90.00
_cell_angle_beta 90.00
_cell_angle_gamma 90.00
loop_
_atom_site_label
_atom_site_type_symbol
_atom_site_fract_x
_atom_site_fract_y
_atom_site_fract_z
Tb1 Tb 0.000 0.000 0.500
Gd1 Gd 0.500 0.500 0.500
B1 B 0.000 0.000 0.000
```

DOS(E_F) ... 1.464 states/eV per atom



DFT (GGA-PBE) results for a relaxed GdTcB2 crystal.

The structure in CIF format:
```
data_GdTcB2
_chemical_formula_sum 'Gd3 Tc3 B6'
_space_group_name_H-M_alt 'R -3 m'
_space_group_IT_number 166
_space_group_name_Hall '-R 3 2"'
_cell_length_a 3.3707
_cell_length_b 3.3707
_cell_length_c 16.8665
_cell_angle_alpha 90.00
_cell_angle_beta 90.00
_cell_angle_gamma 120.00
loop_
_atom_site_label
_atom_site_type_symbol
_atom_site_fract_x
_atom_site_fract_y
_atom_site_fract_z
Gd1 Gd 0.0000 0.0000 0.0000
Tc1 Tc 0.0000 0.0000 0.5000
B1 B 0.0000 0.0000 0.2293
```

DOS(E_F) ... 0.448 states/eV per atom



DFT (GGA-PBE) results for a relaxed GdTh2B crystal.

The structure in CIF format:
```
data_GdTh2B
_chemical_formula_sum 'Gd3 Th6 B3'
_space_group_name_H-M_alt 'R -3 m'
_space_group_IT_number 166
_space_group_name_Hall '-R 3 2"'
_cell_length_a 3.6846
_cell_length_b 3.6846
_cell_length_c 29.3098
_cell_angle_alpha 90.00
_cell_angle_beta 90.00
_cell_angle_gamma 120.00
loop_
_atom_site_label
_atom_site_type_symbol
_atom_site_fract_x
_atom_site_fract_y
_atom_site_fract_z
Gd1 Gd 0.0000 0.0000 0.0000
Th1 Th 0.0000 0.0000 0.1155
B1 B 0.0000 0.0000 0.5000
```

DOS(E_F) ... 1.288 states/eV per atom



DFT (GGA-PBE) results for a relaxed GdTm3B crystal.

The structure in CIF format:
```
data_GdTm3B
_chemical_formula_sum 'Gd1 Tm3 B1'
_space_group_name_H-M_alt 'P m -3 m'
_space_group_IT_number 221
_space_group_name_Hall '-P 4 2 3'
_cell_length_a 5.092
_cell_length_b 5.092
_cell_length_c 5.092
_cell_angle_alpha 90.00
_cell_angle_beta 90.00
_cell_angle_gamma 90.00
loop_
_atom_site_label
_atom_site_type_symbol
_atom_site_fract_x
_atom_site_fract_y
_atom_site_fract_z
Gd1 Gd 0.000 0.000 0.000
Tm1 Tm 0.000 0.500 0.500
B1 B 0.500 0.500 0.500
```

DOS(E_F) ... 1.421 states/eV per atom



DFT (GGA-PBE) results for a relaxed GdTmB4 crystal.

The structure in CIF format:
```
data_GdTmB4
_chemical_formula_sum 'Gd4 Tm4 B16'
_space_group_name_H-M_alt 'F -4 3 m'
_space_group_IT_number 216
_space_group_name_Hall 'F -4 2 3'
_cell_length_a 6.719
_cell_length_b 6.719
_cell_length_c 6.719
_cell_angle_alpha 90.00
_cell_angle_beta 90.00
_cell_angle_gamma 90.00
loop_
_atom_site_label
_atom_site_type_symbol
_atom_site_fract_x
_atom_site_fract_y
_atom_site_fract_z
Gd1 Gd 0.000 0.000 0.000
Tm1 Tm 0.250 0.250 0.750
B1 B 0.157 0.157 0.343
```

DOS(E_F) ... 0.652 states/eV per atom



DFT (GGA-PBE) results for a relaxed GdVB2 crystal.

The structure in CIF format:
```
data_GdVB2
_chemical_formula_sum 'Gd3 V3 B6'
_space_group_name_H-M_alt 'R -3 m'
_space_group_IT_number 166
_space_group_name_Hall '-R 3 2"'
_cell_length_a 3.5900
_cell_length_b 3.5900
_cell_length_c 14.8428
_cell_angle_alpha 90.00
_cell_angle_beta 90.00
_cell_angle_gamma 120.00
loop_
_atom_site_label
_atom_site_type_symbol
_atom_site_fract_x
_atom_site_fract_y
_atom_site_fract_z
Gd1 Gd 0.0000 0.0000 0.0000
V1 V 0.0000 0.0000 0.5000
B1 B 0.0000 0.0000 0.2131
```

DOS(E_F) ... 0.639 states/eV per atom



DFT (GGA-PBE) results for a relaxed GdBW2 crystal.

The structure in CIF format:
```
data_GdBW2
_chemical_formula_sum 'Gd3 B3 W6'
_space_group_name_H-M_alt 'R -3 m'
_space_group_IT_number 166
_space_group_name_Hall '-R 3 2"'
_cell_length_a 3.1316
_cell_length_b 3.1316
_cell_length_c 24.7949
_cell_angle_alpha 90.00
_cell_angle_beta 90.00
_cell_angle_gamma 120.00
loop_
_atom_site_label
_atom_site_type_symbol
_atom_site_fract_x
_atom_site_fract_y
_atom_site_fract_z
Gd1 Gd 0.0000 0.0000 0.0000
B1 B 0.0000 0.0000 0.5000
W1 W 0.0000 0.0000 0.1188
```

DOS(E_F) ... 0.532 states/eV per atom



DFT (GGA-PBE) results for a relaxed Ge3B crystal.

The structure in CIF format:
```
data_Ge3B
_chemical_formula_sum 'Ge6 B2'
_space_group_name_H-M_alt 'P 63/m m c'
_space_group_IT_number 194
_space_group_name_Hall '-P 6c 2c'
_cell_length_a 7.0811
_cell_length_b 7.0811
_cell_length_c 3.1660
_cell_angle_alpha 90.00
_cell_angle_beta 90.00
_cell_angle_gamma 120.00
loop_
_atom_site_label
_atom_site_type_symbol
_atom_site_fract_x
_atom_site_fract_y
_atom_site_fract_z
Ge1 Ge 0.2011 0.4022 0.2500
B1 B 0.3333 0.6667 0.7500
```

DOS(E_F) ... 0.216 states/eV per atom
Energy above the most stable polymorph in this dataset ... 0.0 meV/atom



DFT (GGA-PBE) results for a relaxed Ge3B crystal.

The structure in CIF format:
```
data_Ge3B
_chemical_formula_sum 'Ge12 B4'
_space_group_name_H-M_alt 'F m -3 m'
_space_group_IT_number 225
_space_group_name_Hall '-F 4 2 3'
_cell_length_a 6.419
_cell_length_b 6.419
_cell_length_c 6.419
_cell_angle_alpha 90.00
_cell_angle_beta 90.00
_cell_angle_gamma 90.00
loop_
_atom_site_label
_atom_site_type_symbol
_atom_site_fract_x
_atom_site_fract_y
_atom_site_fract_z
Ge1 Ge 0.000 0.000 0.000
Ge2 Ge 0.250 0.250 0.250
B1 B 0.000 0.000 0.500
```

DOS(E_F) ... 0.924 states/eV per atom
Energy above the most stable polymorph in this dataset ... 478.4 meV/atom



DFT (GGA-PBE) results for a relaxed Ge3B crystal.

The structure in CIF format:
```
data_Ge3B
_chemical_formula_sum 'Ge3 B1'
_space_group_name_H-M_alt 'P m -3 m'
_space_group_IT_number 221
_space_group_name_Hall '-P 4 2 3'
_cell_length_a 4.035
_cell_length_b 4.035
_cell_length_c 4.035
_cell_angle_alpha 90.00
_cell_angle_beta 90.00
_cell_angle_gamma 90.00
loop_
_atom_site_label
_atom_site_type_symbol
_atom_site_fract_x
_atom_site_fract_y
_atom_site_fract_z
Ge1 Ge 0.000 0.000 0.500
B1 B 0.500 0.500 0.500
```

DOS(E_F) ... 0.732 states/eV per atom
Energy above the most stable polymorph in this dataset ... 442.6 meV/atom



What are the DFT total energy values for these records? In order: -8.31; -8.87; -8.95; -8.37; -10.42; -9.88; -7.14; -11.13; -9.38; -7.27; -6.86; -9.51; -8.79; -6.80; -7.26; -9.13; -11.25; -4.56; -4.08; -4.12 eV/atom.